No. 1
A plane-wave DFT calculation with GGA-PBE was carried out for crystalline Zn2CrHg at its relaxed geometry.

Unit cell a=4.0456 b=4.0612 c=8.2374 alpha=90.00 beta=90.00 gamma=90.00
Last column: nearest neighbours and their distance in Å.
Space group Imm2 (No. 44)
Inequivalent atoms, fractional coordinates:
1 Zn 0.0000 0.0000 0.0000  4 Hg 2.87, 4 Zn 2.88-2.89, 4 Cr 2.89
2 Zn 0.0000 0.5000 0.2503  4 Cr 2.87, 4 Zn 2.88-2.89, 4 Hg 2.89
3 Cr 0.0000 0.5000 0.7500  8 Zn 2.87-2.89, 4 Hg 2.89
4 Hg 0.0000 0.0000 0.5003  8 Zn 2.87-2.89, 4 Cr 2.89

Output
energy above the most stable polymorph in this dataset	8	meV/atom
DOS at the Fermi energy	3.0	states/eV/cell
DFT formation energy	0.228	eV/atom



No. 2
A plane-wave DFT calculation with GGA-PBE was carried out for crystalline Zn2CrHg at its relaxed geometry.

Unit cell a=4.0178 b=4.0178 c=4.1282 alpha=90.00 beta=90.00 gamma=90.00
Last column: nearest neighbours and their distance in Å.
Space group P4/mmm (No. 123)
Inequivalent atoms, fractional coordinates:
1 Zn 0.0000 0.5000 0.0000  4 Zn 2.84, 4 Hg 2.88, 4 Cr 2.88
2 Cr 0.0000 0.0000 0.5000  4 Hg 2.84, 8 Zn 2.88
3 Hg 0.5000 0.5000 0.5000  4 Cr 2.84, 8 Zn 2.88

Output
energy above the most stable polymorph in this dataset	0	meV/atom
DOS at the Fermi energy	2.1	states/eV/cell
DFT formation energy	0.220	eV/atom



No. 3
A plane-wave DFT calculation with GGA-PBE was carried out for crystalline Zn2CrHg at its relaxed geometry.

Unit cell a=9.2680 b=3.2429 c=4.7488 alpha=90.00 beta=105.70 gamma=90.00
Last column: nearest neighbours and their distance in Å.
Space group Cm (No. 8)
Inequivalent atoms, fractional coordinates:
1 Zn 0.0000 0.0000 0.0000  3 Cr 2.75-2.85, 3 Zn 2.75-2.93, 4 Hg 2.86-2.89
2 Zn 0.2418 0.5000 0.2434  3 Zn 2.75-2.93, 4 Cr 2.77-2.99, 3 Hg 2.85-2.87
3 Cr 0.2565 0.0000 0.7786  7 Zn 2.75-2.99, 3 Hg 2.89
4 Hg 0.4984 0.0000 0.5027  7 Zn 2.85-2.89, 3 Cr 2.89

Output
energy above the most stable polymorph in this dataset	49	meV/atom
DOS at the Fermi energy	3.1	states/eV/cell
DFT formation energy	0.269	eV/atom



No. 4
A plane-wave DFT calculation with GGA-PBE was carried out for crystalline Zn2CrHg at its relaxed geometry.

Unit cell a=9.1430 b=3.1989 c=4.8230 alpha=90.00 beta=102.43 gamma=90.00
Last column: nearest neighbours and their distance in Å.
Space group C2/m (No. 12)
Inequivalent atoms, fractional coordinates:
1 Zn 0.2421 0.0000 0.2231  2 Zn 2.71, 3 Cr 2.76-2.79, 3 Hg 2.82-2.92
2 Cr 0.0000 0.5000 0.0000  6 Zn 2.76-2.79, 4 Hg 2.89
3 Hg 0.0000 0.0000 0.5000  6 Zn 2.82-2.92, 4 Cr 2.89

Output
energy above the most stable polymorph in this dataset	40	meV/atom
DOS at the Fermi energy	3.1	states/eV/cell
DFT formation energy	0.261	eV/atom



No. 5
A plane-wave DFT calculation with GGA-PBE was carried out for crystalline Zn2CrHg at its relaxed geometry.

Unit cell a=7.3954 b=7.3954 c=5.5318 alpha=90.00 beta=90.00 gamma=90.00
Last column: nearest neighbours and their distance in Å.
Space group I-42d (No. 122)
Inequivalent atoms, fractional coordinates:
1 Zn 0.2431 0.2500 0.1250  2 Cr 2.67, 2 Hg 2.74, 2 Zn 2.77
2 Cr 0.0000 0.0000 0.0000  4 Zn 2.67, 2 Hg 2.77
3 Hg 0.0000 0.0000 0.5000  4 Zn 2.74, 2 Cr 2.77

Output
energy above the most stable polymorph in this dataset	218	meV/atom
DOS at the Fermi energy	9.5	states/eV/cell
DFT formation energy	0.438	eV/atom



No. 6
A plane-wave DFT calculation with GGA-PBE was carried out for crystalline ZrCrHg2 at its relaxed geometry.

Unit cell a=3.1081 b=4.0378 c=6.4237 alpha=90.00 beta=90.09 gamma=90.00
Last column: nearest neighbours and their distance in Å.
Space group P2/m (No. 10)
Inequivalent atoms, fractional coordinates:
1 Zr 0.0000 0.0000 0.0000  8 Hg 3.06, 2 Zr 3.11, 2 Cr 3.21
2 Cr 0.0000 0.0000 0.5000  8 Hg 2.96, 2 Cr 3.11, 2 Zr 3.21
3 Hg 0.5002 0.5000 0.2649  4 Cr 2.96, 3 Hg 3.02-3.11, 4 Zr 3.06

Output
energy above the most stable polymorph in this dataset	36	meV/atom
DOS at the Fermi energy	3.0	states/eV/cell
DFT formation energy	0.178	eV/atom



No. 7
A plane-wave DFT calculation with GGA-PBE was carried out for crystalline ZrCrHg2 at its relaxed geometry.

Unit cell a=6.8787 b=6.8787 c=6.8787 alpha=90.00 beta=90.00 gamma=90.00
Last column: nearest neighbours and their distance in Å.
Space group F-43m (No. 216)
Inequivalent atoms, fractional coordinates:
1 Zr 0.0000 0.0000 0.0000  4 Hg 2.98, 4 Cr 2.98
2 Cr 0.2500 0.2500 0.2500  4 Hg 2.98, 4 Zr 2.98
3 Hg 0.0000 0.0000 0.5000  4 Hg 2.98, 4 Cr 2.98
4 Hg 0.2500 0.2500 0.7500  4 Zr 2.98, 4 Hg 2.98

Output
energy above the most stable polymorph in this dataset	181	meV/atom
DOS at the Fermi energy	12.5	states/eV/cell
DFT formation energy	0.323	eV/atom



No. 8
A plane-wave DFT calculation with GGA-PBE was carried out for crystalline ZrCrHg2 at its relaxed geometry.

Unit cell a=4.3521 b=4.3521 c=4.2803 alpha=90.00 beta=90.00 gamma=90.00
Last column: nearest neighbours and their distance in Å.
Space group P4/mmm (No. 123)
Inequivalent atoms, fractional coordinates:
1 Zr 0.0000 0.0000 0.0000  8 Hg 3.05, 4 Cr 3.08
2 Cr 0.5000 0.5000 0.0000  8 Hg 3.05, 4 Zr 3.08
3 Hg 0.0000 0.5000 0.5000  4 Cr 3.05, 4 Zr 3.05, 4 Hg 3.08

Output
energy above the most stable polymorph in this dataset	58	meV/atom
DOS at the Fermi energy	4.3	states/eV/cell
DFT formation energy	0.200	eV/atom